Record 1
CuNi6Ge: relaxed, PBE.

Cell and atoms, written as extended XYZ:
```
32
Lattice="6.166 0.004 0.000 -2.065 5.810 0.000 0.000 0.000 10.072" Properties=species:S:1:pos:R:3 pbc="T T T"
Cu 4.093 1.466 0.000
Cu 0.008 4.348 0.000
Cu 2.051 2.907 7.576
Cu 2.051 2.907 2.495
Ni 4.108 1.456 7.557
Ni -0.009 2.178 8.818
Ni 4.110 3.636 8.818
Ni -0.007 4.358 7.557
Ni 2.046 5.092 8.818
Ni 2.055 0.722 8.818
Ni 2.051 2.907 5.036
Ni 4.107 3.645 6.296
Ni 2.056 5.092 6.296
Ni 4.108 1.456 2.515
Ni -0.006 2.169 3.775
Ni 4.107 3.645 3.775
Ni -0.007 4.358 2.515
Ni 2.056 5.092 3.775
Ni 2.046 0.722 3.775
Ni 2.051 2.907 0.000
Ni 4.110 3.636 1.254
Ni 2.046 5.092 1.254
Ni 0.000 0.000 5.036
Ni 2.046 0.722 6.296
Ni -0.006 2.169 6.296
Ni 0.000 0.000 0.000
Ni 2.055 0.722 1.254
Ni -0.009 2.178 1.254
Ge 4.083 1.473 5.036
Ge 0.018 4.341 5.036
Ge 0.000 0.000 7.581
Ge 0.000 0.000 2.490
```

V: 11.28 Å³/atom
Final energy: -5.53 eV/atom
DOS(E_F): 1.14 states/eV/atom
Space-group type: Cmmm, No. 65
Energy above the most stable polymorph in this dataset: 0.0 meV/atom



Record 2
CuNiGe2: relaxed, PBE.

Cell and atoms, written as extended XYZ:
```
4
Lattice="-1.220 -3.622 0.909 1.344 -3.090 -2.019 3.454 -2.656 2.542" Properties=species:S:1:pos:R:3 pbc="T T T"
Cu 1.907 -4.698 0.817
Ni 3.435 -7.118 1.715
Ge 2.748 -2.569 1.940
Ge 0.731 -2.322 0.218
```

V: 15.06 Å³/atom
Final energy: -4.79 eV/atom
DOS(E_F): 0.27 states/eV/atom
Space-group type: R3m, No. 160
Energy above the most stable polymorph in this dataset: 0.0 meV/atom



Record 3
Cu5Ni4Ge: relaxed, PBE.

Cell and atoms, written as extended XYZ:
```
10
Lattice="3.766 0.000 -1.196 0.003 5.462 0.009 -0.051 0.151 6.368" Properties=species:S:1:pos:R:3 pbc="T T T"
Cu 0.659 0.099 2.075
Cu 0.630 2.674 1.985
Cu 3.088 2.939 3.197
Cu 1.885 2.731 -0.593
Cu 3.059 5.514 3.107
Ni 2.462 4.146 1.227
Ni 3.687 1.467 5.084
Ni 1.255 1.467 3.955
Ni 0.031 4.146 0.098
Ge 1.883 0.000 -0.598
```

V: 13.07 Å³/atom
Final energy: -4.70 eV/atom
DOS(E_F): 0.47 states/eV/atom
Space-group type: C2/m, No. 12



Record 4
CuNi5Ge2: relaxed, PBE.

Cell and atoms, written as extended XYZ:
```
16
Lattice="3.616 0.000 0.000 0.000 5.074 0.000 0.000 0.000 10.132" Properties=species:S:1:pos:R:3 pbc="T T T"
Cu 0.000 0.000 5.066
Cu 0.000 2.537 0.000
Ni 1.808 1.331 1.235
Ni 1.808 3.744 8.897
Ni 1.808 3.868 3.831
Ni 1.808 1.206 6.301
Ni 0.000 4.983 7.589
Ni 0.000 0.091 2.543
Ni 0.000 2.446 7.609
Ni 0.000 2.628 2.523
Ni 0.000 2.537 5.066
Ni 0.000 0.000 0.000
Ge 1.808 1.371 3.742
Ge 1.808 3.704 6.390
Ge 1.808 1.167 8.808
Ge 1.808 3.908 1.324
```

V: 11.62 Å³/atom
Final energy: -5.53 eV/atom
DOS(E_F): 0.31 states/eV/atom
Space-group type: Pbam, No. 55



Record 5
Cu3Ni4Ge: relaxed, PBE.

Cell and atoms, written as extended XYZ:
```
16
Lattice="4.237 0.000 0.000 0.000 5.279 0.000 0.000 0.000 8.254" Properties=species:S:1:pos:R:3 pbc="T T T"
Ni 2.119 3.951 0.000
Ni 2.119 3.951 4.127
Ni 2.119 1.328 0.000
Ni 2.119 1.328 4.127
Ni 0.488 3.952 6.190
Ni 3.749 3.952 2.063
Ni 3.749 1.327 2.063
Ni 0.488 1.327 6.190
Ge 0.000 2.640 0.000
Ge 0.000 2.640 4.127
Cu 0.000 0.000 0.000
Cu 0.000 0.000 4.127
Cu 2.596 0.000 6.190
Cu 1.642 0.000 2.063
Cu 2.575 2.640 6.190
Cu 1.662 2.640 2.063
```

V: 11.54 Å³/atom
Final energy: -5.10 eV/atom
DOS(E_F): 0.66 states/eV/atom
Space-group type: Pmma, No. 51



Record 6
CuNi5Ge: relaxed, PBE.

Cell and atoms, written as extended XYZ:
```
7
Lattice="4.224 0.091 0.000 -1.289 4.023 0.000 0.000 0.000 5.025" Properties=species:S:1:pos:R:3 pbc="T T T"
Cu 0.000 0.000 0.000
Ni 0.823 4.069 1.232
Ni 3.579 2.102 1.232
Ni 0.000 0.000 2.512
Ni -0.644 2.012 3.792
Ni 2.112 0.045 3.792
Ge 1.467 2.057 2.512
```

V: 12.28 Å³/atom
Final energy: -5.36 eV/atom
DOS(E_F): 1.21 states/eV/atom
Space-group type: Cmmm, No. 65
Energy above the most stable polymorph in this dataset: 0.0 meV/atom



Record 7
CuNiGe2: relaxed, PBE.

Cell and atoms, written as extended XYZ:
```
8
Lattice="6.839 0.000 0.000 0.000 6.839 0.000 3.420 3.420 2.655" Properties=species:S:1:pos:R:3 pbc="T T T"
Ni 3.420 3.420 0.000
Ni 3.420 6.839 1.328
Ge 4.984 1.710 0.664
Ge 1.856 5.130 0.664
Ge 5.130 5.276 1.991
Ge 8.549 8.403 1.991
Cu 0.000 0.000 0.000
Cu 6.839 3.420 1.328
```

V: 15.53 Å³/atom
Final energy: -4.53 eV/atom
DOS(E_F): 0.57 states/eV/atom
Space-group type: I-42d, No. 122
Energy above the most stable polymorph in this dataset: 266.0 meV/atom



Record 8
Cu14NiGe: relaxed, PBE.

Cell and atoms, written as extended XYZ:
```
16
Lattice="5.153 -0.356 0.000 -2.347 4.601 0.000 0.000 0.000 8.409" Properties=species:S:1:pos:R:3 pbc="T T T"
Cu -0.763 3.554 0.000
Cu 2.980 1.081 0.000
Cu -0.880 2.110 4.205
Cu 0.411 1.258 0.000
Cu 0.520 4.228 4.205
Cu 1.810 3.374 0.000
Cu 1.636 0.429 6.323
Cu 1.636 0.429 2.087
Cu 3.053 2.572 6.323
Cu 3.053 2.572 2.087
Cu 0.459 2.747 6.328
Cu 0.459 2.747 2.081
Cu 4.220 0.261 6.327
Cu 4.220 0.261 2.082
Ni -2.064 4.414 4.205
Ge 1.698 1.928 4.205
```

V: 12.02 Å³/atom
Final energy: -4.25 eV/atom
DOS(E_F): 0.25 states/eV/atom
Space-group type: Amm2, No. 38



Record 9
Cu8Ni2Ge: relaxed, PBE.

Cell and atoms, written as extended XYZ:
```
11
Lattice="4.244 0.409 0.311 0.595 6.286 0.697 0.595 2.364 5.866" Properties=species:S:1:pos:R:3 pbc="T T T"
Cu 1.585 4.277 4.760
Cu 3.850 3.323 4.036
Cu 1.297 6.697 5.081
Cu 4.137 2.363 1.793
Cu 1.585 5.736 2.837
Cu 3.850 4.782 2.114
Cu 3.578 5.867 4.451
Cu 1.856 3.193 2.422
Ni 3.288 7.853 5.959
Ni 2.147 1.206 0.915
Ge 0.000 0.000 0.000
```

V: 13.41 Å³/atom
Final energy: -4.26 eV/atom
DOS(E_F): 0.47 states/eV/atom
Space-group type: C2/m, No. 12



Record 10
CuNiGe2: relaxed, PBE.

Cell and atoms, written as extended XYZ:
```
4
Lattice="-0.086 -0.814 -2.814 -0.085 -2.845 -0.701 -8.333 -1.022 -0.976" Properties=species:S:1:pos:R:3 pbc="T T T"
Ni -4.252 -2.340 -2.245
Ge -5.981 -1.078 -1.031
Ge -2.523 -3.603 -3.459
Cu 0.000 0.000 0.000
```

V: 15.40 Å³/atom
Final energy: -4.71 eV/atom
DOS(E_F): 0.46 states/eV/atom
Space-group type: R-3m, No. 166
Energy above the most stable polymorph in this dataset: 83.8 meV/atom